Material: Ba12Tl3Br5
Method: DFT, PBE
State: optimized geometry

Computed properties:
The value obtained for the formation energy from raw total energies is -0.83 eV/atom. Its volume is 4084.6 Å³/cell.

Unit cell a=17.4417 b=17.4417 c=17.4417 alpha=109.47 beta=109.47 gamma=109.47
Fractional coordinates of all 80 atoms:
Tl1 0.7500 0.3750 0.1250
Tl2 0.8750 0.7500 0.1250
Tl3 0.3750 0.7500 0.6250
Tl4 0.2500 0.1250 0.3750
Tl5 0.8750 0.1250 0.2500
Tl6 0.3750 0.6250 0.2500
Tl7 0.6250 0.3750 0.7500
Tl8 0.1250 0.8750 0.7500
Tl9 0.7500 0.8750 0.6250
Tl10 0.6250 0.2500 0.3750
Tl11 0.1250 0.2500 0.8750
Tl12 0.2500 0.6250 0.8750
Br1 0.1250 0.3750 0.2500
Br2 0.0000 0.5000 0.0000
Br3 0.0000 0.0000 0.0000
Br4 0.3750 0.2500 0.1250
Br5 0.5000 0.0000 0.5000
Br6 0.5000 0.5000 0.0000
Br7 0.1250 0.7500 0.3750
Br8 0.7500 0.1250 0.8750
Br9 0.7500 0.6250 0.3750
Br10 0.3750 0.1250 0.7500
Br11 0.6250 0.8750 0.2500
Br12 0.5000 0.5000 0.5000
Br13 0.5000 0.0000 0.0000
Br14 0.0000 0.0000 0.5000
Br15 0.2500 0.3750 0.6250
Br16 0.2500 0.8750 0.1250
Br17 0.0000 0.5000 0.5000
Br18 0.8750 0.2500 0.6250
Br19 0.6250 0.7500 0.8750
Br20 0.8750 0.6250 0.7500
Ba1 0.7242 0.1333 0.0491
Ba2 0.3248 0.5491 0.4158
Ba3 0.9509 0.3667 0.2758
Ba4 0.5491 0.2242 0.1333
Ba5 0.5910 0.7242 0.6752
Ba6 0.9509 0.5842 0.1752
Ba7 0.3248 0.7758 0.4090
Ba8 0.0842 0.9090 0.1333
Ba9 0.5842 0.9509 0.6752
Ba10 0.7242 0.5910 0.1752
Ba11 0.7758 0.4509 0.3667
Ba12 0.8248 0.9158 0.0491
Ba13 0.1333 0.7242 0.5491
Ba14 0.3667 0.4158 0.0910
Ba15 0.0910 0.9158 0.3667
Ba16 0.4090 0.1333 0.5842
Ba17 0.0910 0.1752 0.2242
Ba18 0.4509 0.6752 0.0842
Ba19 0.8248 0.9090 0.2758
Ba20 0.1333 0.4090 0.0842
Ba21 0.3667 0.9509 0.7758
Ba22 0.5842 0.6333 0.4090
Ba23 0.9158 0.8248 0.5491
Ba24 0.7758 0.3248 0.9090
Ba25 0.4158 0.3667 0.5910
Ba26 0.0842 0.1752 0.4509
Ba27 0.2242 0.6752 0.0910
Ba28 0.1752 0.0910 0.7242
Ba29 0.6333 0.0491 0.2242
Ba30 0.8667 0.5910 0.9158
Ba31 0.5491 0.3248 0.9158
Ba32 0.5910 0.8667 0.4158
Ba33 0.9090 0.8248 0.7758
Ba34 0.9090 0.0842 0.6333
Ba35 0.8667 0.2758 0.4509
Ba36 0.1752 0.0842 0.9509
Ba37 0.6333 0.5842 0.9090
Ba38 0.4158 0.0491 0.3248
Ba39 0.2758 0.4090 0.8248
Ba40 0.2242 0.5491 0.6333
Ba41 0.9158 0.0910 0.8667
Ba42 0.6752 0.2242 0.5910
Ba43 0.4509 0.7758 0.8667
Ba44 0.0491 0.4158 0.8248
Ba45 0.4090 0.2758 0.3248
Ba46 0.0491 0.6333 0.7242
Ba47 0.6752 0.4509 0.5842
Ba48 0.2758 0.8667 0.9509

Material: Ba5Tl4Br
Method: DFT, PBE
State: optimized geometry

Computed properties:
The value obtained for the formation energy from raw total energies is -0.63 eV/atom. Its volume is 396.3 Å³/cell.

Unit cell a=4.2505 b=4.2505 c=21.9330 alpha=90.00 beta=90.00 gamma=90.00
Fractional coordinates of all 10 atoms:
Ba1 0.5000 0.5000 0.1093
Ba2 0.5000 0.5000 0.3021
Ba3 0.5000 0.5000 0.5000
Ba4 0.5000 0.5000 0.6979
Ba5 0.5000 0.5000 0.8907
Tl1 0.0000 0.0000 0.2045
Tl2 0.0000 0.0000 0.3991
Tl3 0.0000 0.0000 0.6009
Tl4 0.0000 0.0000 0.7955
Br1 0.0000 0.0000 0.0000

Material: BaTlBr
Method: DFT, PBE
State: optimized geometry

Computed properties:
The value obtained for the formation energy from raw total energies is -0.93 eV/atom. Its volume is 248.2 Å³/cell. The value obtained for the energy above the most stable polymorph in this dataset is 255 meV/atom.

Unit cell a=4.3911 b=4.4057 c=14.7986 alpha=90.00 beta=90.00 gamma=119.89
Fractional coordinates of all 6 atoms:
Tl1 0.5916 0.1831 0.0000
Tl2 0.2818 0.5635 0.5000
Ba1 0.6147 0.2294 0.3253
Ba2 0.6147 0.2294 0.6747
Br1 0.2819 0.5638 0.8203
Br2 0.2819 0.5638 0.1797

Please write out number 2 again, unchanged.
Material: Ba5Tl4Br
Method: DFT, PBE
State: optimized geometry

Computed properties:
The value obtained for the formation energy from raw total energies is -0.63 eV/atom. Its volume is 396.3 Å³/cell.

Unit cell a=4.2505 b=4.2505 c=21.9330 alpha=90.00 beta=90.00 gamma=90.00
Fractional coordinates of all 10 atoms:
Ba1 0.5000 0.5000 0.1093
Ba2 0.5000 0.5000 0.3021
Ba3 0.5000 0.5000 0.5000
Ba4 0.5000 0.5000 0.6979
Ba5 0.5000 0.5000 0.8907
Tl1 0.0000 0.0000 0.2045
Tl2 0.0000 0.0000 0.3991
Tl3 0.0000 0.0000 0.6009
Tl4 0.0000 0.0000 0.7955
Br1 0.0000 0.0000 0.0000

Question: Which of these has the lowest formation energy from raw total energies?
Answer: BaTlBr

Question: formation energy from raw total energies of number 1 (Ba12Tl3Br5)?
Answer: -0.83 eV/atom